Entry 1
# CsHfH3

A relaxed CsHfH3 crystal (PBE, Alexandria via LeMat-Bulk). Values from VASP.

Crystal system: monoclinic
Spin magnetization (μB per formula unit): 0.00

```
&SYSTEM
  ibrav = 0, nat = 10, ntyp = 3
/
ATOMIC_SPECIES
Hf 178.49 Hf.upf
H 1.01 H.upf
Cs 132.91 Cs.upf
ATOMIC_POSITIONS crystal
Hf 0.251 0.000 0.660
H 0.177 0.500 0.801
Hf 0.251 0.500 0.160
Cs 0.764 0.500 0.660
Cs 0.764 0.000 0.160
H 0.177 0.000 0.301
H 0.998 0.000 0.574
H 0.329 0.000 0.020
H 0.998 0.500 0.074
H 0.329 0.500 0.520
CELL_PARAMETERS angstrom
7.720 0.000 0.006
0.000 3.476 0.000
-1.614 0.000 5.803
```

---

Entry 2
# CsHfH3

A relaxed CsHfH3 crystal (PBE, Alexandria via LeMat-Bulk). Values from VASP.

Crystal system: monoclinic
Spin magnetization (μB per formula unit): 0.00

```
&SYSTEM
  ibrav = 0, nat = 10, ntyp = 3
/
ATOMIC_SPECIES
Hf 178.49 Hf.upf
H 1.01 H.upf
Cs 132.91 Cs.upf
ATOMIC_POSITIONS crystal
Hf 0.848 0.000 0.678
H 0.396 0.500 0.230
H 0.396 0.000 0.730
H 0.974 0.500 0.312
H 0.786 0.500 0.607
Cs 0.564 0.000 0.409
Cs 0.564 0.500 0.909
H 0.786 0.000 0.107
Hf 0.848 0.500 0.178
H 0.974 0.000 0.812
CELL_PARAMETERS angstrom
-1.188 0.227 3.368
-2.270 -2.487 -0.633
10.616 -9.906 0.848
```

---

Entry 3
# CsHfH3

A relaxed CsHfH3 crystal (PBE, Alexandria via LeMat-Bulk). Values from VASP.

Crystal system: triclinic
Spin magnetization (μB per formula unit): 0.00

```
&SYSTEM
  ibrav = 0, nat = 5, ntyp = 3
/
ATOMIC_SPECIES
H 1.01 H.upf
Hf 178.49 Hf.upf
Cs 132.91 Cs.upf
ATOMIC_POSITIONS crystal
H 0.941 0.518 0.754
Hf 0.443 0.518 0.925
H 0.445 0.518 0.189
Cs 0.947 0.018 0.420
H 0.943 0.018 0.974
CELL_PARAMETERS angstrom
3.229 0.003 0.001
-0.032 3.275 0.000
-0.034 -0.001 7.298
```

---

Entry 4
# CsHfH3

A relaxed CsHfH3 crystal (PBE, Alexandria via LeMat-Bulk). Values from VASP.

Crystal system: orthorhombic
Spin magnetization (μB per formula unit): 1.22

```
&SYSTEM
  ibrav = 0, nat = 5, ntyp = 3
/
ATOMIC_SPECIES
H 1.01 H.upf
Hf 178.49 Hf.upf
Cs 132.91 Cs.upf
ATOMIC_POSITIONS crystal
H 0.000 0.500 0.989
H 0.000 0.500 0.649
Hf 0.000 0.000 0.815
Cs 0.500 0.500 0.328
H 0.500 0.000 0.700
CELL_PARAMETERS angstrom
-2.855 1.907 -1.173
-2.063 -2.181 1.477
0.147 3.757 5.752
```

---

Pick the least stable structure from those above. Pick: entry 2